[1]
{"formula": "Ba2Mg2I", "functional": "PBE", "state": "relaxed", "total_magnetization_mub_per_cell": 0.0, "total_energy_ev_per_atom": -2.013, "sg": "No. 127", "dos_at_fermi_per_ev_cell": 14.01, "e_above_lowest_polymorph_kj_per_mol_fu": 21, "volume_a3_per_atom": 42.906, "lattice_angstrom": [[9.5471, 0.0000, 0.0000], [0.0000, 9.5471, 0.0000], [0.0000, 0.0000, 4.7073]], "species": ["Ba", "Ba", "Ba", "Ba", "Mg", "Mg", "Mg", "Mg", "I", "I"], "fractional_positions": [[0.1759, 0.3241, 0.0000], [0.3241, 0.8241, 0.0000], [0.6759, 0.1759, 0.0000], [0.8241, 0.6759, 0.0000], [0.1144, 0.6144, 0.5000], [0.3856, 0.1144, 0.5000], [0.6144, 0.8856, 0.5000], [0.8856, 0.3856, 0.5000], [0.0000, 0.0000, 0.5000], [0.5000, 0.5000, 0.5000]]}

=====

[2]
{"formula": "Ba2Mg2I", "functional": "PBE", "state": "relaxed", "total_magnetization_mub_per_cell": 0.0, "total_energy_ev_per_atom": -1.832, "sg": "No. 139", "dos_at_fermi_per_ev_cell": 11.55, "e_above_lowest_polymorph_kj_per_mol_fu": 108, "volume_a3_per_atom": 46.510, "lattice_angstrom": [[6.9424, 0.0000, 0.0000], [0.0000, 6.9424, 0.0000], [0.0000, 0.0000, 9.6499]], "species": ["Ba", "Ba", "Ba", "Ba", "Mg", "Mg", "Mg", "Mg", "I", "I"], "fractional_positions": [[0.0000, 0.5000, 0.2500], [0.0000, 0.5000, 0.7500], [0.5000, 0.0000, 0.2500], [0.5000, 0.0000, 0.7500], [0.0000, 0.0000, 0.1477], [0.0000, 0.0000, 0.8523], [0.5000, 0.5000, 0.3523], [0.5000, 0.5000, 0.6477], [0.0000, 0.0000, 0.5000], [0.5000, 0.5000, 0.0000]]}